Entry 1:
## ZrTc2Pb (PBE-GGA)

Data for a relaxed structure of ZrTc2Pb.

Unit cell a=3.396 b=3.396 c=6.376 alpha=90.00 beta=90.00 gamma=90.00
Sites, in units of the cell vectors:
1 Zr 0.000 0.000 0.000
2 Tc 0.500 0.500 0.247
3 Tc 0.500 0.500 0.753
4 Pb 0.000 0.000 0.500

Energy above the most stable polymorph in this dataset (meV per atom): 90.5
SG: No. 123
Energy (eV per atom): -8.07
Total magnetization (Bohr magnetons per cell): 0.00

---

Entry 2:
## Zr2TcPb (PBE-GGA)

Data for a relaxed structure of Zr2TcPb.

Unit cell a=3.465 b=4.499 c=5.774 alpha=90.00 beta=107.35 gamma=90.00
Sites, in units of the cell vectors:
1 Zr 0.000 0.000 0.000
2 Zr 0.318 0.500 0.641
3 Tc 0.766 0.000 0.537
4 Pb 0.595 0.500 0.190

Energy above the most stable polymorph in this dataset (meV per atom): 144.0
SG: No. 6
Energy (eV per atom): -7.90
Total magnetization (Bohr magnetons per cell): 0.00

---

Entry 3:
## Zr2TcPb2 (PBE-GGA)

Data for a relaxed structure of Zr2TcPb2.

Unit cell a=7.246 b=7.246 c=4.256 alpha=90.00 beta=90.00 gamma=90.00
Sites, in units of the cell vectors:
1 Zr 0.164 0.336 0.000
2 Zr 0.336 0.836 0.000
3 Zr 0.664 0.164 0.000
4 Zr 0.836 0.664 0.000
5 Tc 0.000 0.000 0.500
6 Tc 0.500 0.500 0.500
7 Pb 0.145 0.645 0.500
8 Pb 0.355 0.145 0.500
9 Pb 0.645 0.855 0.500
10 Pb 0.855 0.355 0.500

SG: No. 127
Energy (eV per atom): -6.81
Total magnetization (Bohr magnetons per cell): 1.03

---

Entry 4:
## ZrTc2Pb (PBE-GGA)

Data for a relaxed structure of ZrTc2Pb.

Unit cell a=3.090 b=3.090 c=8.028 alpha=90.00 beta=90.00 gamma=90.00
Sites, in units of the cell vectors:
1 Zr 0.000 0.000 0.000
2 Tc 0.000 0.000 0.580
3 Tc 0.500 0.500 0.760
4 Pb 0.500 0.500 0.316

Energy above the most stable polymorph in this dataset (meV per atom): 0.0
SG: No. 99
Energy (eV per atom): -8.16
Total magnetization (Bohr magnetons per cell): 0.00

---

Entry 5:
## Zr2TcPb (PBE-GGA)

Data for a relaxed structure of Zr2TcPb.

Unit cell a=4.464 b=4.464 c=8.229 alpha=90.00 beta=90.00 gamma=90.00
Sites, in units of the cell vectors:
1 Zr 0.000 0.500 0.250
2 Zr 0.000 0.500 0.750
3 Zr 0.500 0.000 0.250
4 Zr 0.500 0.000 0.750
5 Tc 0.000 0.000 0.000
6 Tc 0.500 0.500 0.500
7 Pb 0.000 0.000 0.500
8 Pb 0.500 0.500 0.000

Energy above the most stable polymorph in this dataset (meV per atom): 214.9
SG: No. 139
Energy (eV per atom): -7.83
Total magnetization (Bohr magnetons per cell): 0.00

---

Entry 6:
## Zr2TcPb (PBE-GGA)

Data for a relaxed structure of Zr2TcPb.

Unit cell a=7.838 b=7.838 c=5.845 alpha=90.00 beta=90.00 gamma=90.00
Sites, in units of the cell vectors:
1 Zr 0.197 0.250 0.125
2 Zr 0.250 0.697 0.375
3 Zr 0.250 0.803 0.875
4 Zr 0.303 0.250 0.625
5 Zr 0.697 0.750 0.625
6 Zr 0.750 0.197 0.875
7 Zr 0.750 0.303 0.375
8 Zr 0.803 0.750 0.125
9 Tc 0.000 0.000 0.000
10 Tc 0.000 0.500 0.250
11 Tc 0.500 0.000 0.750
12 Tc 0.500 0.500 0.500
13 Pb 0.000 0.000 0.500
14 Pb 0.000 0.500 0.750
15 Pb 0.500 0.000 0.250
16 Pb 0.500 0.500 0.000

Energy above the most stable polymorph in this dataset (meV per atom): 497.5
SG: No. 122
Energy (eV per atom): -7.54
Total magnetization (Bohr magnetons per cell): 0.00

---

Entry 7:
## Zr2TcPb (PBE-GGA)

Data for a relaxed structure of Zr2TcPb.

Unit cell a=11.137 b=3.472 c=4.786 alpha=90.00 beta=115.32 gamma=90.00
Sites, in units of the cell vectors:
1 Zr 0.000 0.000 0.000
2 Zr 0.228 0.000 0.728
3 Zr 0.500 0.500 0.000
4 Zr 0.728 0.500 0.728
5 Tc 0.016 0.500 0.515
6 Tc 0.516 0.000 0.515
7 Pb 0.278 0.500 0.278
8 Pb 0.778 0.000 0.278

Energy above the most stable polymorph in this dataset (meV per atom): 152.9
SG: No. 8
Energy (eV per atom): -7.89
Total magnetization (Bohr magnetons per cell): 0.00

---

Entry 8:
## Zr2TcPb (PBE-GGA)

Data for a relaxed structure of Zr2TcPb.

Unit cell a=3.452 b=5.303 c=9.466 alpha=90.00 beta=90.00 gamma=90.00
Sites, in units of the cell vectors:
1 Zr 0.000 0.000 0.000
2 Zr 0.000 0.500 0.274
3 Zr 0.500 0.000 0.274
4 Zr 0.500 0.500 0.000
5 Tc 0.000 0.500 0.792
6 Tc 0.500 0.000 0.792
7 Pb 0.000 0.000 0.549
8 Pb 0.500 0.500 0.549

Energy above the most stable polymorph in this dataset (meV per atom): 422.2
SG: No. 35
Energy (eV per atom): -7.62
Total magnetization (Bohr magnetons per cell): 0.00

---

Entry 9:
## ZrTc3Pb (PBE-GGA)

Data for a relaxed structure of ZrTc3Pb.

Unit cell a=4.860 b=4.860 c=4.860 alpha=90.00 beta=90.00 gamma=90.00
Sites, in units of the cell vectors:
1 Zr 0.000 0.000 0.000
2 Tc 0.000 0.000 0.500
3 Tc 0.000 0.500 0.000
4 Tc 0.500 0.000 0.000
5 Pb 0.500 0.500 0.500

Energy above the most stable polymorph in this dataset (meV per atom): 0.0
SG: No. 221
Energy (eV per atom): -6.97
Total magnetization (Bohr magnetons per cell): 3.81

---

Entry 10:
## Zr2TcPb (PBE-GGA)

Data for a relaxed structure of Zr2TcPb.

Unit cell a=4.149 b=4.149 c=9.585 alpha=90.00 beta=90.00 gamma=90.00
Sites, in units of the cell vectors:
1 Zr 0.000 0.000 0.000
2 Zr 0.000 0.500 0.250
3 Zr 0.500 0.000 0.750
4 Zr 0.500 0.500 0.500
5 Tc 0.000 0.000 0.500
6 Tc 0.500 0.500 0.000
7 Pb 0.000 0.500 0.750
8 Pb 0.500 0.000 0.250

Energy above the most stable polymorph in this dataset (meV per atom): 252.0
SG: No. 119
Energy (eV per atom): -7.79
Total magnetization (Bohr magnetons per cell): 0.00

---

Entry 11:
## ZrTc2Pb (PBE-GGA)

Data for a relaxed structure of ZrTc2Pb.

Unit cell a=3.131 b=4.501 c=5.809 alpha=90.00 beta=98.93 gamma=90.00
Sites, in units of the cell vectors:
1 Zr 0.000 0.000 0.000
2 Tc 0.415 0.500 0.803
3 Tc 0.585 0.500 0.197
4 Pb 0.500 0.000 0.500

Energy above the most stable polymorph in this dataset (meV per atom): 170.9
SG: No. 10
Energy (eV per atom): -7.99
Total magnetization (Bohr magnetons per cell): 0.00

---

Entry 12:
## ZrTc4Pb2 (PBE-GGA)

Data for a relaxed structure of ZrTc4Pb2.

Unit cell a=4.792 b=4.792 c=14.278 alpha=90.00 beta=90.00 gamma=90.00
Sites, in units of the cell vectors:
1 Zr 0.000 0.000 0.000
2 Zr 0.500 0.500 0.500
3 Tc 0.000 0.000 0.178
4 Tc 0.000 0.000 0.822
5 Tc 0.000 0.500 0.000
6 Tc 0.000 0.500 0.500
7 Tc 0.500 0.000 0.000
8 Tc 0.500 0.000 0.500
9 Tc 0.500 0.500 0.322
10 Tc 0.500 0.500 0.678
11 Pb 0.000 0.000 0.371
12 Pb 0.000 0.000 0.629
13 Pb 0.500 0.500 0.129
14 Pb 0.500 0.500 0.871

SG: No. 139
Energy (eV per atom): -6.68
Total magnetization (Bohr magnetons per cell): 11.17

---

> The highest total magnetization belongs to which entry?

ZrTc4Pb2